1.
Compound: CuOsSe
Source: Alexandria via LeMat-Bulk
Functional: PBE
Structure: optimized geometry

a = 4.1666 Å, b = 4.1666 Å, c = 3.0734 Å
α = 90.00°, β = 90.00°, γ = 120.00°
Space group P-6m2 (No. 187)
Asymmetric unit:
Cu1 0.0000 0.0000 0.0000 x1
Os1 0.6667 0.3333 0.5000 x1
Se1 0.3333 0.6667 0.5000 x1

- energy above the lowest structure with this stoichiometry (eV/atom) = 0.165

2.
Compound: LaSm2Dy2Er
Source: Alexandria via LeMat-Bulk
Functional: PBE
Structure: optimized geometry

a = 6.964 Å, b = 16.355 Å, c = 3.531 Å
α = 90.00°, β = 90.00°, γ = 90.00°
Space group Pnnm (No. 58)
Asymmetric unit:
La1 0.000 0.000 0.000 x2
Sm1 0.247 0.341 0.000 x4
Dy1 0.250 0.155 0.500 x4
Er1 0.000 0.500 0.500 x2

- energy relative to the elements (eV per atom) = 0.15

3.
Compound: LiVCdSe2
Source: Alexandria via LeMat-Bulk
Functional: PBE
Structure: optimized geometry

a = 4.782 Å, b = 4.782 Å, c = 5.770 Å
α = 90.00°, β = 90.00°, γ = 90.00°
Space group P4/mmm (No. 123)
Asymmetric unit:
Li1 0.000 0.000 0.000 x1
V1 0.000 0.000 0.500 x1
Cd1 0.500 0.500 0.000 x1
Se1 0.000 0.500 0.500 x2

4.
Compound: YTlRh2
Source: Alexandria via LeMat-Bulk
Functional: PBE
Structure: optimized geometry

a = 7.334 Å, b = 7.334 Å, c = 6.241 Å
α = 90.00°, β = 90.00°, γ = 90.00°
Space group I-42d (No. 122)
Asymmetric unit:
Y1 0.000 0.000 0.000 x4
Tl1 0.000 0.000 0.500 x4
Rh1 0.246 0.250 0.625 x8

- energy relative to the elements (eV per atom) = -0.06

For reference, final energy by record: -5.6585 -4.5353 -3.8084 -5.9413 eV per atom.